--- P ---
# Tb5ErTl2

A relaxed structure of Tb5ErTl2 (PBE-GGA, the Alexandria database).

## Properties
Symmetry: P6_3/mmc, No. 194
ρ (g/cm³): 8.9

```
Tb5ErTl2
1.0
5.414 0.000 0.000
-2.707 4.689 0.000
0.000 0.000 20.123
Tb Er Tl
10 2 4
Cartesian
0.000 0.000 3.294
0.000 0.000 6.767
0.000 0.000 13.356
0.000 0.000 16.828
0.000 3.126 1.220
0.000 3.126 5.031
0.000 3.126 8.841
2.707 1.563 11.281
2.707 1.563 15.092
2.707 1.563 18.903
0.000 3.126 15.092
2.707 1.563 5.031
0.000 3.126 12.000
0.000 3.126 18.184
2.707 1.563 1.939
2.707 1.563 8.123
```



--- Q ---
# Tb5ErTl2

A relaxed structure of Tb5ErTl2 (PBE-GGA, the Alexandria database).

## Properties
Symmetry: Immm, No. 71
ρ (g/cm³): 9.5

```
Tb5ErTl2
1.0
3.590 0.000 0.000
0.000 10.581 0.000
0.000 0.000 12.682
Tb Er Tl
10 2 4
Cartesian
0.000 0.000 0.000
0.000 2.870 4.649
0.000 2.870 8.034
0.000 7.711 4.649
0.000 7.711 8.034
1.795 2.420 1.692
1.795 2.420 10.990
1.795 5.290 6.341
1.795 8.161 1.692
1.795 8.161 10.990
0.000 5.290 0.000
1.795 0.000 6.341
0.000 0.000 3.334
0.000 0.000 9.348
1.795 5.290 3.007
1.795 5.290 9.675
```



Which structure is the most stable? The one labeled Q.



--- P ---
# Tb2Er3Tl

A relaxed structure of Tb2Er3Tl (PBE-GGA, the Alexandria database).

## Properties
Symmetry: Cmmm, No. 65
ρ (g/cm³): 9.6

```
Tb2Er3Tl
1.0
4.835 0.000 0.000
0.000 15.081 0.000
0.000 0.000 4.862
Tb Er Tl
4 6 2
Cartesian
0.000 2.446 0.000
0.000 12.636 0.000
2.418 5.095 0.000
2.418 9.986 0.000
0.000 0.000 2.431
0.000 4.996 2.431
0.000 10.086 2.431
2.418 2.545 2.431
2.418 7.541 2.431
2.418 12.536 2.431
0.000 7.541 0.000
2.418 0.000 0.000
```



--- Q ---
# Tb2Er3Tl

A relaxed structure of Tb2Er3Tl (PBE-GGA, the Alexandria database).

## Properties
Symmetry: Imm2, No. 44
ρ (g/cm³): 8.8

```
Tb2Er3Tl
1.0
3.386 0.000 0.000
0.000 9.908 0.000
0.000 0.000 11.494
Tb Er Tl
4 6 2
Cartesian
0.000 1.699 0.000
0.000 8.209 0.000
1.693 3.255 5.747
1.693 6.653 5.747
0.000 0.000 3.223
0.000 3.359 2.865
0.000 6.549 2.865
1.693 1.595 8.612
1.693 4.954 8.970
1.693 8.313 8.612
0.000 4.954 0.171
1.693 0.000 5.918
```



Which structure is the most stable? The one labeled P.



--- P ---
# TbEr3Tl

A relaxed structure of TbEr3Tl (PBE-GGA, the Alexandria database).

## Properties
Symmetry: Cmcm, No. 63
ρ (g/cm³): 10.0

```
TbEr3Tl
1.0
2.395 -12.629 0.000
2.395 12.629 0.000
0.000 0.000 4.767
Tb Er Tl
2 6 2
Cartesian
2.395 8.865 3.575
2.395 -8.865 1.192
2.395 11.436 1.192
2.395 6.294 1.192
2.395 1.299 1.192
2.395 -1.299 3.575
2.395 -6.294 3.575
2.395 -11.436 3.575
2.395 3.837 3.575
2.395 -3.837 1.192
```



--- Q ---
# TbEr3Tl

A relaxed structure of TbEr3Tl (PBE-GGA, the Alexandria database).

## Properties
Symmetry: C2/c, No. 15
ρ (g/cm³): 9.6

```
TbEr3Tl
1.0
7.251 -6.541 0.000
7.251 6.541 0.000
-1.573 0.000 6.295
Tb Er Tl
4 12 4
Cartesian
0.788 0.879 2.920
0.002 -0.879 6.067
12.927 0.879 0.228
12.140 -0.879 3.375
5.790 4.053 0.148
3.947 2.445 2.267
3.042 0.959 5.406
7.925 4.053 2.999
3.829 -0.959 2.259
3.160 -2.445 5.414
9.768 2.445 0.880
9.100 0.959 4.036
5.003 -4.053 3.295
9.886 -0.959 0.889
8.982 -2.445 4.028
7.139 -4.053 6.146
6.071 2.190 4.721
6.858 1.085 1.574
6.071 -1.085 4.721
6.858 -2.190 1.574
```



Which structure is the most stable? The one labeled P.



--- P ---
# TbErTmTl

A relaxed structure of TbErTmTl (PBE-GGA, the Alexandria database).

## Properties
Symmetry: Pmmm, No. 47
ρ (g/cm³): 10.4

```
TbErTmTl
1.0
4.809 0.000 0.000
0.000 4.829 0.000
0.000 0.000 4.833
Tb Er Tm Tl
1 1 1 1
Cartesian
0.000 0.000 0.000
2.405 2.414 0.000
2.405 0.000 2.416
0.000 2.414 2.416
```



--- Q ---
# TbErTmTl

A relaxed structure of TbErTmTl (PBE-GGA, the Alexandria database).

## Properties
Symmetry: F-43m, No. 216
ρ (g/cm³): 10.2

```
TbErTmTl
1.0
7.686 0.000 0.000
0.000 7.686 0.000
0.000 0.000 7.686
Tb Er Tm Tl
4 4 4 4
Cartesian
0.000 0.000 0.000
0.000 3.843 3.843
3.843 0.000 3.843
3.843 3.843 0.000
0.000 0.000 3.843
0.000 3.843 0.000
3.843 0.000 0.000
3.843 3.843 3.843
1.922 1.922 5.765
1.922 5.765 1.922
5.765 1.922 1.922
5.765 5.765 5.765
1.922 1.922 1.922
1.922 5.765 5.765
5.765 1.922 5.765
5.765 5.765 1.922
```



Which structure is the most stable? The one labeled P.



--- P ---
# TbErTlZn

A relaxed structure of TbErTlZn (PBE-GGA, the Alexandria database).

## Properties
Symmetry: F-43m, No. 216
ρ (g/cm³): 9.9

```
TbErTlZn
1.0
7.374 0.000 0.000
0.000 7.374 0.000
0.000 0.000 7.374
Tb Er Tl Zn
4 4 4 4
Cartesian
0.000 0.000 0.000
0.000 3.687 3.687
3.687 0.000 3.687
3.687 3.687 0.000
0.000 0.000 3.687
0.000 3.687 0.000
3.687 0.000 0.000
3.687 3.687 3.687
1.843 1.843 1.843
1.843 5.530 5.530
5.530 1.843 5.530
5.530 5.530 1.843
1.843 1.843 5.530
1.843 5.530 1.843
5.530 1.843 1.843
5.530 5.530 5.530
```



--- Q ---
# TbErTlZn

A relaxed structure of TbErTlZn (PBE-GGA, the Alexandria database).

## Properties
Symmetry: P4mm, No. 99
ρ (g/cm³): 10.0

```
TbErTlZn
1.0
3.659 0.000 0.000
0.000 3.659 0.000
0.000 0.000 7.408
Tb Er Tl Zn
1 1 1 1
Cartesian
0.000 0.000 0.000
0.000 0.000 4.021
1.829 1.829 2.044
1.829 1.829 5.665
```



Which structure is the most stable? The one labeled Q.



--- P ---
# TbErTm2

A relaxed structure of TbErTm2 (PBE-GGA, the Alexandria database).

## Properties
Symmetry: Imm2, No. 44
ρ (g/cm³): 8.9

```
TbErTm2
1.0
3.583 0.000 0.000
0.000 11.123 0.000
0.000 0.000 6.195
Tb Er Tm
2 2 4
Cartesian
0.000 0.000 0.000
1.792 5.561 3.098
0.000 5.561 6.187
1.792 0.000 3.090
0.000 2.774 4.128
0.000 8.349 4.128
1.792 2.788 1.031
1.792 8.335 1.031
```



--- Q ---
# TbErTm2

A relaxed structure of TbErTm2 (PBE-GGA, the Alexandria database).

## Properties
Symmetry: P4/mmm, No. 123
ρ (g/cm³): 9.1

```
TbErTm2
1.0
4.958 0.000 0.000
0.000 4.958 0.000
0.000 0.000 4.950
Tb Er Tm
1 1 2
Cartesian
0.000 0.000 0.000
2.479 2.479 0.000
0.000 2.479 2.475
2.479 0.000 2.475
```



Which structure is the most stable? The one labeled P.



--- P ---
# Tb5Er6Tm

A relaxed structure of Tb5Er6Tm (PBE-GGA, the Alexandria database).

## Properties
Symmetry: Immm, No. 71
ρ (g/cm³): 8.7

```
Tb5Er6Tm
1.0
-2.865 3.685 8.854
2.865 -3.685 8.854
2.865 3.685 -8.854
Tb Er Tm
5 6 1
Cartesian
0.000 0.000 0.000
2.865 0.000 2.713
0.000 0.000 6.170
0.000 0.000 11.538
0.000 3.685 6.141
2.865 -1.843 5.672
2.865 1.833 0.000
0.000 1.842 3.182
2.865 1.843 5.672
0.000 1.852 8.854
0.000 5.528 3.182
0.000 3.685 0.000
```



--- Q ---
# Tb5Er6Tm

A relaxed structure of Tb5Er6Tm (PBE-GGA, the Alexandria database).

## Properties
Symmetry: C2/m, No. 12
ρ (g/cm³): 8.8

```
Tb5Er6Tm
1.0
3.049 -5.276 0.000
3.049 5.276 0.000
-2.022 0.000 11.477
Tb Er Tm
5 6 1
Cartesian
0.000 0.000 0.000
2.038 3.518 5.738
3.049 1.757 0.000
3.049 -1.757 0.000
2.038 -3.518 5.738
1.022 1.757 2.876
0.008 0.000 8.603
1.022 -1.757 2.876
3.054 1.757 8.601
4.068 0.000 2.874
3.054 -1.757 8.601
2.038 0.000 5.738
```



Which structure is the most stable? The one labeled Q.



--- P ---
# Tb5Er4Tm2

A relaxed structure of Tb5Er4Tm2 (PBE-GGA, the Alexandria database).

## Properties
Symmetry: Immm, No. 71
ρ (g/cm³): 8.4

```
Tb5Er4Tm2
1.0
-1.734 4.464 11.532
1.734 -4.464 11.532
1.734 4.464 -11.532
Tb Er Tm
5 4 2
Cartesian
0.000 0.000 0.000
1.734 1.777 -3.346
1.734 1.777 3.346
0.000 2.686 8.186
0.000 2.686 14.878
1.734 2.778 0.000
1.734 0.000 9.293
0.000 4.464 2.239
0.000 1.686 11.532
1.734 0.000 6.205
0.000 4.464 5.327
```



--- Q ---
# Tb5Er4Tm2

A relaxed structure of Tb5Er4Tm2 (PBE-GGA, the Alexandria database).

## Properties
Symmetry: C2/m, No. 12
ρ (g/cm³): 8.7

```
Tb5Er4Tm2
1.0
5.455 -3.617 0.000
5.455 3.617 0.000
-2.692 0.000 8.724
Tb Er Tm
5 4 2
Cartesian
0.000 0.000 0.000
2.763 1.599 6.326
5.456 1.599 2.398
2.763 -1.599 6.326
5.456 -1.599 2.398
0.706 0.000 8.723
2.606 0.000 3.318
5.613 0.000 5.406
7.513 0.000 0.001
-0.076 0.000 5.403
8.294 0.000 3.321
```



Which structure is the most stable? The one labeled Q.



--- P ---
# Tb2Er2Tm

A relaxed structure of Tb2Er2Tm (PBE-GGA, the Alexandria database).

## Properties
Symmetry: Imma, No. 74
ρ (g/cm³): 8.7

```
Tb2Er2Tm
1.0
-1.785 2.802 15.612
1.785 -2.802 15.612
1.785 2.802 -15.612
Tb Er Tm
4 4 2
Cartesian
0.000 1.401 0.689
0.000 1.401 3.776
1.785 1.401 11.836
1.785 1.401 14.923
1.785 -1.401 9.552
1.785 1.401 6.506
0.000 1.401 9.106
0.000 4.202 6.060
1.785 1.401 -2.466
0.000 1.401 18.078
```



--- Q ---
# Tb2Er2Tm

A relaxed structure of Tb2Er2Tm (PBE-GGA, the Alexandria database).

## Properties
Symmetry: P4/mbm, No. 127
ρ (g/cm³): 8.8

```
Tb2Er2Tm
1.0
9.164 0.000 0.000
0.000 9.164 0.000
0.000 0.000 3.702
Tb Er Tm
4 4 2
Cartesian
1.183 3.399 0.000
3.399 7.982 0.000
5.765 1.183 0.000
7.982 5.765 0.000
1.556 6.138 1.851
3.026 1.556 1.851
6.138 7.608 1.851
7.608 3.026 1.851
0.000 0.000 0.000
4.582 4.582 0.000
```



Which structure is the most stable? The one labeled Q.



--- P ---
# TbErTm6

A relaxed structure of TbErTm6 (PBE-GGA, the Alexandria database).

## Properties
Symmetry: P-1, No. 2
ρ (g/cm³): 9.0

```
TbErTm6
1.0
6.467 0.000 0.000
-0.010 6.655 0.000
-1.546 -3.314 5.741
Tb Er Tm
1 1 6
Cartesian
0.000 0.000 0.000
3.233 0.000 0.000
0.747 2.226 2.763
1.615 3.661 0.005
0.937 -1.107 2.997
3.974 4.448 2.744
3.296 -0.320 5.736
4.164 1.114 2.978
```



--- Q ---
# TbErTm6

A relaxed structure of TbErTm6 (PBE-GGA, the Alexandria database).

## Properties
Symmetry: C2/m, No. 12
ρ (g/cm³): 9.0

```
TbErTm6
1.0
6.442 0.000 0.000
0.000 11.639 0.000
-0.026 0.000 6.577
Tb Er Tm
2 2 12
Cartesian
0.000 0.000 0.000
3.221 5.819 0.000
-0.013 0.000 3.289
3.208 5.819 3.289
-0.016 5.819 4.931
1.169 2.770 1.646
1.169 8.869 1.646
2.026 3.049 4.931
2.026 8.590 4.931
3.211 0.000 1.646
3.205 0.000 4.931
4.390 3.049 1.646
4.390 8.590 1.646
5.247 2.770 4.931
5.247 8.869 4.931
6.432 5.819 1.646
```



Which structure is the most stable? The one labeled P.



--- P ---
# Tb7Er2Tm

A relaxed structure of Tb7Er2Tm (PBE-GGA, the Alexandria database).

## Properties
Symmetry: P-1, No. 2
ρ (g/cm³): 8.6

```
Tb7Er2Tm
1.0
6.117 0.000 0.000
-1.014 6.042 0.000
-3.047 -2.576 8.448
Tb Er Tm
7 2 1
Cartesian
0.000 0.000 0.000
-1.015 5.010 3.377
-2.025 0.707 7.603
1.030 2.251 2.541
1.026 1.216 5.907
4.081 2.760 0.846
3.071 -1.544 5.071
-1.002 3.979 6.756
3.059 -0.513 1.693
-2.030 1.733 4.224
```



--- Q ---
# Tb7Er2Tm

A relaxed structure of Tb7Er2Tm (PBE-GGA, the Alexandria database).

## Properties
Symmetry: Cmmm, No. 65
ρ (g/cm³): 7.0

```
Tb7Er2Tm
1.0
4.338 -8.421 0.000
4.338 8.421 0.000
0.000 0.000 5.275
Tb Er Tm
7 2 1
Cartesian
0.000 0.000 0.000
2.788 1.848 0.000
4.338 3.370 2.638
2.788 -1.848 0.000
5.887 1.848 0.000
4.338 -3.370 2.638
5.887 -1.848 0.000
4.338 5.007 0.000
4.338 -5.007 0.000
4.338 0.000 2.638
```



Which structure is the most stable? The one labeled P.